No. 1
Below is a geometry-optimized Na2MoOs structure, with properties calculated at the PBE level.

Summary:
Energy above the most stable polymorph in this dataset = 0.000 eV/atom
Formation energy from the elements = 1585 meV/atom
Fermi-level density of states = 0.979 states/eV per atom
VASP energy = -0.3374 Ry per atom
Magnetic moment = 2.789 μB/f.u.

Cell lengths 6.3927, 6.3927, 6.3927 Å; angles 98.34, 98.34, 135.24 degrees
Positions (direct):
Na: 0.1022 0.6250 0.9772
Na: 0.3750 0.3522 0.4772
Na: 0.6478 0.1250 0.0228
Na: 0.8750 0.8978 0.5228
Mo: 0.2500 0.7500 0.5000
Mo: 0.5000 0.5000 0.0000
Os: 0.0000 0.0000 0.0000
Os: 0.7500 0.2500 0.5000


No. 2
Below is a geometry-optimized NaMo2Os structure, with properties calculated at the PBE level.

Summary:
Energy above the most stable polymorph in this dataset = 0.306 eV/atom
Formation energy from the elements = 1094 meV/atom
Fermi-level density of states = 1.244 states/eV per atom
VASP energy = -0.5482 Ry per atom
Magnetic moment = 0.000 μB/f.u.

Cell lengths 5.8922, 5.8922, 5.8922 Å; angles 102.34, 102.34, 124.94 degrees
Positions (direct):
Na: 0.0000 0.0000 0.0000
Na: 0.7500 0.2500 0.5000
Mo: 0.1743 0.1250 0.5493
Mo: 0.3750 0.8257 0.9507
Mo: 0.5757 0.6250 0.4507
Mo: 0.8750 0.4243 0.0493
Os: 0.2500 0.7500 0.5000
Os: 0.5000 0.5000 0.0000


No. 3
Below is a geometry-optimized Na2Mo2Os structure, with properties calculated at the PBE level.

Summary:
Energy above the most stable polymorph in this dataset = 0.000 eV/atom
Formation energy from the elements = 1747 meV/atom
Fermi-level density of states = 1.072 states/eV per atom
VASP energy = -0.3939 Ry per atom
Magnetic moment = 0.000 μB/f.u.

Cell lengths 7.9605, 7.9605, 2.6537 Å; angles 90.00, 90.00, 90.00 degrees
Positions (direct):
Na: 0.0973 0.4027 0.0000
Na: 0.4027 0.9027 0.0000
Na: 0.5973 0.0973 0.0000
Na: 0.9027 0.5973 0.0000
Mo: 0.2057 0.7057 0.5000
Mo: 0.2943 0.2057 0.5000
Mo: 0.7057 0.7943 0.5000
Mo: 0.7943 0.2943 0.5000
Os: 0.0000 0.0000 0.0000
Os: 0.5000 0.5000 0.0000


No. 4
Below is a geometry-optimized NaMo3Os structure, with properties calculated at the PBE level.

Summary:
Energy above the most stable polymorph in this dataset = 1.149 eV/atom
Formation energy from the elements = 2721 meV/atom
Fermi-level density of states = 1.131 states/eV per atom
VASP energy = -0.4621 Ry per atom
Magnetic moment = 0.000 μB/f.u.

Cell lengths 4.4031, 4.4031, 4.4031 Å; angles 90.00, 90.00, 90.00 degrees
Positions (direct):
Na: 0.0000 0.0000 0.0000
Mo: 0.0000 0.0000 0.5000
Mo: 0.0000 0.5000 0.0000
Mo: 0.5000 0.0000 0.0000
Os: 0.5000 0.5000 0.5000


Number 1: calculated volume 21.3 Å³ per atom. Number 2: calculated volume 18.6 Å³ per atom. Number 3: calculated volume 16.8 Å³ per atom. Number 4: calculated volume 17.1 Å³ per atom.